# AcPmNiHg (PBE, relaxed)
data_AcPmNiHg
_cell_length_a 7.574
_cell_length_b 7.574
_cell_length_c 7.574
_cell_angle_alpha 90.00
_cell_angle_beta 90.00
_cell_angle_gamma 90.00
_symmetry_space_group_name_H-M 'F -4 3 m'
_symmetry_Int_Tables_number 216
_symmetry_space_group_name_Hall 'F -4 2 3'
loop_
_atom_site_label
_atom_site_fract_x
_atom_site_fract_y
_atom_site_fract_z
Ac1 0.000 0.000 0.000
Pm1 0.000 0.000 0.500
Ni1 0.250 0.250 0.250
Hg1 0.250 0.250 0.750
# E_form = -231 meV per atom
# crystal system = cubic
# ρ = 9.65 g/cm³